1.
First-principles (PBE-GGA) data for an optimized crystal structure of NdReClO4, as listed in Alexandria via LeMat-Bulk.

Properties
**E_tot**: -7.696 eV per atom
**ΔE_f (raw)**: -2.14 eV/atom
**Magnetization**: 1.00 μB per formula unit
**Calculated volume**: 19.21 Å³ per atom
**Density of states at the Fermi level**: 11.7 states/eV per cell

Unit cell a=10.6938 b=7.3374 c=7.1046 alpha=90.00 beta=105.24 gamma=90.00
With the nearest neighbours (Å) after each atom.
Space group C2/m (No. 12)
Symmetry-distinct sites (fractional):
Nd 0.2185 0.0000 0.1028 x4  6 O 2.42-2.53
Re 0.1334 0.5000 0.2815 x4  4 O 1.76-1.86
Cl 0.0094 0.0000 0.7658 x4  2 Nd 2.81-2.83
O 0.0368 0.5000 0.7830 x4  1 Re 1.76
O 0.1986 0.3244 0.1448 x8  1 Re 1.86
O 0.2122 0.5000 0.5318 x4  1 Re 1.76


2.
First-principles (PBE-GGA) data for an optimized crystal structure of Mg2TlAuBr, as listed in Alexandria via LeMat-Bulk.

Properties
**E_tot**: -2.421 eV per atom
**ΔE_f (raw)**: -0.32 eV/atom
**Magnetization**: 0.00 μB per formula unit
**Calculated volume**: 30.53 Å³ per atom
**Density of states at the Fermi level**: 1.5 states/eV per cell

Unit cell a=5.2005 b=5.2005 c=5.6443 alpha=90.00 beta=90.00 gamma=90.00
With the nearest neighbours (Å) after each atom.
Space group P4/mmm (No. 123)
Symmetry-distinct sites (fractional):
Mg 0.0000 0.5000 0.0000 x2  2 Au 2.60
Tl 0.0000 0.0000 0.5000 x1  2 Au 2.82
Au 0.0000 0.0000 0.0000 x1  4 Mg 2.60, 2 Tl 2.82
Br 0.5000 0.5000 0.5000 x1  4 Tl 3.68, 8 Mg 3.84


3.
First-principles (PBE-GGA) data for an optimized crystal structure of Mg2HgP, as listed in Alexandria via LeMat-Bulk.

Properties
**E_tot**: -2.477 eV per atom
**Magnetization**: 0.00 μB per formula unit
**Calculated volume**: 21.38 Å³ per atom
**Density of states at the Fermi level**: 2.9 states/eV per cell
**DFT formation energy**: -1.01 eV per formula unit

Unit cell a=3.4037 b=3.9323 c=12.7803 alpha=90.00 beta=90.00 gamma=90.00
With the nearest neighbours (Å) after each atom.
Space group Imm2 (No. 44)
Symmetry-distinct sites (fractional):
Mg 0.0000 0.0000 0.0000 x2  4 P 2.67
Mg 0.0000 0.5000 0.2064 x2  2 P 2.65, 4 Hg 2.96
Hg 0.0000 0.5000 0.8169 x2  6 Mg 2.96-3.06
P 0.0000 0.0000 0.5474 x2  6 Mg 2.65-2.67


4.
First-principles (PBE-GGA) data for an optimized crystal structure of TbSmHoPu, as listed in Alexandria via LeMat-Bulk.

Properties
**E_tot**: -6.861 eV per atom
**Magnetization**: 7.42 μB per formula unit
**Calculated volume**: 31.24 Å³ per atom
**Density of states at the Fermi level**: 45.0 states/eV per cell
**DFT formation energy**: 0.82 eV per formula unit

Unit cell a=7.9362 b=7.9362 c=7.9362 alpha=90.00 beta=90.00 gamma=90.00
With the nearest neighbours (Å) after each atom.
Space group F-43m (No. 216)
Symmetry-distinct sites (fractional):
Tb 0.0000 0.0000 0.0000 x4  4 Ho 3.44, 4 Pu 3.44
Sm 0.0000 0.0000 0.5000 x4  4 Ho 3.44, 4 Pu 3.44
Ho 0.2500 0.2500 0.2500 x4  4 Tb 3.44, 4 Sm 3.44
Pu 0.2500 0.2500 0.7500 x4  4 Tb 3.44, 4 Sm 3.44


5.
First-principles (PBE-GGA) data for an optimized crystal structure of Ba7Hg6, as listed in Alexandria via LeMat-Bulk.

Properties
**E_tot**: -1.222 eV per atom
**Magnetization**: 0.00 μB per formula unit
**Calculated volume**: 44.77 Å³ per atom
**Density of states at the Fermi level**: 45.2 states/eV per cell
**DFT formation energy**: -0.61 eV per formula unit

Unit cell a=8.3156 b=8.3156 c=29.1583 alpha=90.00 beta=90.00 gamma=120.00
With the nearest neighbours (Å) after each atom.
Space group R-3m (No. 166, hexagonal axes)
Symmetry-distinct sites (fractional):
Ba 0.0000 0.0000 0.0000 x3  6 Ba 3.56
Ba 0.0243 0.5121 0.4176 x18  3 Hg 3.36-3.58, 1 Ba 3.56
Hg 0.0000 0.0000 0.1585 x6  6 Ba 3.36-3.45
Hg 0.0000 0.0000 0.3451 x6  1 Hg 2.99
Hg 0.0000 0.0000 0.4477 x6  2 Hg 2.99-3.05


6.
First-principles (PBE-GGA) data for an optimized crystal structure of Zr2TiTlC, as listed in Alexandria via LeMat-Bulk.

Properties
**E_tot**: -7.744 eV per atom
**Magnetization**: 0.53 μB per formula unit
**Calculated volume**: 18.12 Å³ per atom
**Density of states at the Fermi level**: 3.5 states/eV per cell
**DFT formation energy**: -2.14 eV per formula unit

Unit cell a=4.6133 b=4.6133 c=4.2575 alpha=90.00 beta=90.00 gamma=90.00
With the nearest neighbours (Å) after each atom.
Space group P4/mmm (No. 123)
Symmetry-distinct sites (fractional):
Zr 0.0000 0.5000 0.0000 x2  2 C 2.31
Ti 0.0000 0.0000 0.5000 x1  2 C 2.13
Tl 0.5000 0.5000 0.5000 x1  8 Zr 3.14, 4 Ti 3.26
C 0.0000 0.0000 0.0000 x1  2 Ti 2.13, 4 Zr 2.31


What did the second record say?
First-principles (PBE-GGA) data for an optimized crystal structure of Mg2TlAuBr, as listed in Alexandria via LeMat-Bulk.

Properties
**E_tot**: -2.421 eV per atom
**ΔE_f (raw)**: -0.32 eV/atom
**Magnetization**: 0.00 μB per formula unit
**Calculated volume**: 30.53 Å³ per atom
**Density of states at the Fermi level**: 1.5 states/eV per cell

Unit cell a=5.2005 b=5.2005 c=5.6443 alpha=90.00 beta=90.00 gamma=90.00
With the nearest neighbours (Å) after each atom.
Space group P4/mmm (No. 123)
Symmetry-distinct sites (fractional):
Mg 0.0000 0.5000 0.0000 x2  2 Au 2.60
Tl 0.0000 0.0000 0.5000 x1  2 Au 2.82
Au 0.0000 0.0000 0.0000 x1  4 Mg 2.60, 2 Tl 2.82
Br 0.5000 0.5000 0.5000 x1  4 Tl 3.68, 8 Mg 3.84


Q: What is the magnetization in the second record?
A: 0.00 μB per formula unit


Q: What is the formula in the second record?
A: Mg2TlAuBr


Q: Look up the calculated volume of the second one.
A: 30.53 Å³ per atom